Record 1
First-principles (PBE) data for a geometry-optimized CdOsRh2 structure, as listed in Alexandria via LeMat-Bulk.

Structure (POSCAR):
```
CdOsRh2
1.0
-0.569 0.112 2.735
0.836 -2.653 0.283
7.370 2.474 1.432
Cd Rh Os
1 2 1
Cartesian
3.818 -0.034 2.225
5.695 1.911 1.107
1.676 0.562 0.326
0.133 -1.270 1.509
```

## Properties
E, eV per cell: -26.90
Formation energy, eV per atom: -0.01
Space-group type: P4/mmm, No. 123

Record 2
First-principles (PBE) data for a geometry-optimized Cd4OsRh structure, as listed in Alexandria via LeMat-Bulk.

Structure (POSCAR):
```
Cd4OsRh
1.0
0.000 3.822 3.822
3.822 0.000 3.822
3.822 3.822 0.000
Cd Rh Os
4 1 1
Cartesian
4.776 2.867 4.776
2.867 2.867 2.867
2.867 4.776 4.776
4.776 4.776 2.867
0.000 0.000 0.000
5.732 5.732 5.732
```

## Properties
E, eV per cell: -17.87
Formation energy, eV per atom: 0.73
Space-group type: F-43m, No. 216

Record 3
First-principles (PBE) data for a geometry-optimized CdOs3Rh structure, as listed in Alexandria via LeMat-Bulk.

Structure (POSCAR):
```
CdOs3Rh
1.0
-0.205 0.291 -4.683
-4.552 -1.152 0.128
-1.141 4.544 0.332
Os Cd Rh
3 1 1
Cartesian
-2.276 -0.576 0.064
-0.570 2.272 0.166
-0.102 0.145 -2.342
-2.949 1.842 -2.112
0.000 0.000 0.000
```

## Properties
E, eV per cell: -30.49
Excess energy over the best structure of this formula in the dataset, meV per atom: 0
Formation energy, eV per atom: 2.29
Space-group type: Pm-3m, No. 221